NbOF3, optimized geometry, DFT PBE-GGA; uncorrected formation energy = -2702 meV per atom; size of the total moment = 0.0 μB/f.u.
1.0
4.2141 -3.1081 -0.0459
4.2141 3.1081 -0.0459
1.9752 0.0000 4.8497
Nb F O
2 6 2
direct
0.5642 0.5642 0.5642
0.0642 0.0642 0.0642
0.2684 0.2662 0.7097
0.7662 0.7684 0.2097
0.7684 0.2097 0.7662
0.2662 0.7097 0.2684
0.2097 0.7662 0.7684
0.7097 0.2684 0.2662
0.2145 0.2145 0.2145
0.7145 0.7145 0.7145